[1]
Here is ScZnSb4 after structural relaxation from Alexandria via LeMat-Bulk. Energies are from PBEsol.

```
data_ScZnSb4
_chemical_formula_sum 'Sc4 Zn4 Sb16'
_symmetry_space_group_name_H-M 'F -4 3 m'
_symmetry_Int_Tables_number 216
_symmetry_space_group_name_Hall 'F -4 2 3'
_cell_length_a 8.612
_cell_length_b 8.612
_cell_length_c 8.612
_cell_angle_alpha 90.00
_cell_angle_beta 90.00
_cell_angle_gamma 90.00
loop_
_atom_site_label
_atom_site_type_symbol
_atom_site_fract_x
_atom_site_fract_y
_atom_site_fract_z
Sc1 Sc 0.000 0.000 0.000
Zn1 Zn 0.250 0.250 0.250
Sb1 Sb 0.125 0.125 0.625
```

Values from the calculation:
The electronic total energy comes out at -4.1620 eV per atom. For the formation energy (no corrections), the calculation gives 23.2 kJ per mole of atoms.

***

[2]
Here is ScZnSb2 after structural relaxation from Alexandria via LeMat-Bulk. Energies are from PBEsol.

```
data_ScZnSb2
_chemical_formula_sum 'Sc1 Zn1 Sb2'
_symmetry_space_group_name_H-M 'P 1 m 1'
_symmetry_Int_Tables_number 6
_cell_length_a 3.864
_cell_length_b 4.191
_cell_length_c 5.725
_cell_angle_alpha 90.00
_cell_angle_beta 109.39
_cell_angle_gamma 90.00
loop_
_symmetry_equiv_pos_as_xyz
'x,y,z'
'x,-y,z'
loop_
_atom_site_label
_atom_site_type_symbol
_atom_site_fract_x
_atom_site_fract_y
_atom_site_fract_z
Sc1 Sc 0.000 0.000 0.000
Zn1 Zn 0.185 0.500 0.372
Sb1 Sb 0.445 0.500 0.888
Sb2 Sb 0.720 0.000 0.440
```

Values from the calculation:
The electronic total energy comes out at -4.7399 eV per atom. For the formation energy (no corrections), the calculation gives -40.0 kJ per mole of atoms.

***

[3]
Here is ScZnSb2 after structural relaxation from Alexandria via LeMat-Bulk. Energies are from PBEsol.

```
data_ScZnSb2
_chemical_formula_sum 'Sc2 Zn2 Sb4'
_symmetry_space_group_name_H-M 'I 4/m m m'
_symmetry_Int_Tables_number 139
_symmetry_space_group_name_Hall '-I 4 2'
_cell_length_a 4.437
_cell_length_b 4.437
_cell_length_c 8.748
_cell_angle_alpha 90.00
_cell_angle_beta 90.00
_cell_angle_gamma 90.00
loop_
_atom_site_label
_atom_site_type_symbol
_atom_site_fract_x
_atom_site_fract_y
_atom_site_fract_z
Sc1 Sc 0.000 0.000 0.000
Zn1 Zn 0.000 0.000 0.500
Sb1 Sb 0.000 0.500 0.250
```

Values from the calculation:
The electronic total energy comes out at -4.6616 eV per atom. For the formation energy (no corrections), the calculation gives -32.4 kJ per mole of atoms.

***

[4]
Here is ScZnSb2 after structural relaxation from Alexandria via LeMat-Bulk. Energies are from PBEsol.

```
data_ScZnSb2
_chemical_formula_sum 'Sc1 Zn1 Sb2'
_symmetry_space_group_name_H-M 'P 4 m m'
_symmetry_Int_Tables_number 99
_cell_length_a 3.211
_cell_length_b 3.211
_cell_length_c 8.691
_cell_angle_alpha 90.00
_cell_angle_beta 90.00
_cell_angle_gamma 90.00
loop_
_symmetry_equiv_pos_as_xyz
'x,y,z'
'-y,x,z'
'-x,-y,z'
'y,-x,z'
'-x,y,z'
'y,x,z'
'x,-y,z'
'-y,-x,z'
loop_
_atom_site_label
_atom_site_type_symbol
_atom_site_fract_x
_atom_site_fract_y
_atom_site_fract_z
Sc1 Sc 0.000 0.000 0.000
Zn1 Zn 0.500 0.500 0.207
Sb1 Sb 0.000 0.000 0.415
Sb2 Sb 0.500 0.500 0.757
```

Values from the calculation:
The electronic total energy comes out at -4.5129 eV per atom. For the formation energy (no corrections), the calculation gives -18.1 kJ per mole of atoms.